#one
# La2IrAu2

A relaxed La2IrAu2 crystal (PBE, the Alexandria database).

As for the density of states at the Fermi level: 0.74 states/eV/atom. For the magnetic moment, the calculation gives 0.000 μB/f.u.

The structure belongs to space group I4/mmm (No. 139); the cell edges are 5.7816, 5.7816 and 7.9905 Å and the angles 90.00°, 90.00° and 90.00°. The inequivalent atoms are La at (0.0000, 0.5000, 0.2500), Ir at (0.0000, 0.0000, 0.0000) and Au at (0.0000, 0.0000, 0.3382).

***

#two
# La2IrAu2

A relaxed La2IrAu2 crystal (PBE, the Alexandria database).

As for the density of states at the Fermi level: 0.70 states/eV/atom. For the magnetic moment, the calculation gives 0.000 μB/f.u.

The structure belongs to space group P4/mbm (No. 127); the cell edges are 7.6397, 7.6397 and 4.1841 Å and the angles 90.00°, 90.00° and 90.00°. The inequivalent atoms are La at (0.1799, 0.3201, 0.0000), Ir at (0.0000, 0.0000, 0.5000) and Au at (0.1300, 0.6300, 0.5000).

***

Most stable = #two

***

#one
# LaIr2Au

A relaxed LaIr2Au crystal (PBE, the Alexandria database).

As for the density of states at the Fermi level: 0.74 states/eV/atom. For the magnetic moment, the calculation gives 0.000 μB/f.u.

The structure belongs to space group P2/m (No. 10); the cell edges are 2.9871, 4.7867 and 5.4825 Å and the angles 90.00°, 98.94° and 90.00°. The inequivalent atoms are La at (0.0000, 0.0000, 0.0000), Ir at (0.3180, 0.5000, 0.7098) and Au at (0.5000, 0.0000, 0.5000).

***

#two
# LaIr2Au

A relaxed LaIr2Au crystal (PBE, the Alexandria database).

As for the density of states at the Fermi level: 0.29 states/eV/atom. For the magnetic moment, the calculation gives 0.000 μB/f.u.

The structure belongs to space group I-42d (No. 122); the cell edges are 4.5498, 4.5498 and 18.7347 Å and the angles 90.00°, 90.00° and 90.00°. The inequivalent atoms are La at (0.0000, 0.0000, 0.0000), Ir at (0.0957, 0.2500, 0.6250) and Au at (0.0000, 0.0000, 0.5000).

***

#three
# LaIr2Au

A relaxed LaIr2Au crystal (PBE, the Alexandria database).

As for the density of states at the Fermi level: 1.20 states/eV/atom. For the magnetic moment, the calculation gives 0.000 μB/f.u.

The structure belongs to space group P4mm (No. 99); the cell edges are 2.9769, 2.9769 and 8.5411 Å and the angles 90.00°, 90.00° and 90.00°. The inequivalent atoms are La at (0.0000, 0.0000, 0.0000), Ir at (0.0000, 0.0000, 0.5247), Ir at (0.5000, 0.5000, 0.7125) and Au at (0.5000, 0.5000, 0.2877).

***

#four
# LaIr2Au

A relaxed LaIr2Au crystal (PBE, the Alexandria database).

As for the density of states at the Fermi level: 1.38 states/eV/atom. For the magnetic moment, the calculation gives 0.000 μB/f.u.

The structure belongs to space group Imm2 (No. 44); the cell edges are 3.9265, 4.5107 and 8.8761 Å and the angles 90.00°, 90.00° and 90.00°. The inequivalent atoms are La at (0.0000, 0.0000, 0.0000), Ir at (0.0000, 0.0000, 0.5161), Ir at (0.0000, 0.5000, 0.2243) and Au at (0.0000, 0.5000, 0.7708).

***

Most stable = #two